Compound: PaVO
Source: Alexandria
Functional: GGA+U
Structure: relaxed

Lattice parameters (Å, degrees): 3.348 6.963 9.891 72.68 99.74 90.00
Last column: magnetic moment on the atom in μB.
Element x y z (fractional)
O: 0.527 0.803 0.054  0.02
V: 0.793 0.341 0.586  2.19
V: 0.207 0.659 0.414  2.19
O: 0.902 0.741 0.804  0.01
Pa: 0.406 0.986 0.812  -0.48
Pa: 0.602 0.502 0.204  -0.49
Pa: 0.594 0.014 0.188  -0.48
O: 0.098 0.259 0.196  0.01
V: 0.787 0.843 0.573  2.15
O: 0.473 0.197 0.946  0.02
Pa: 0.398 0.498 0.796  -0.49
V: 0.213 0.157 0.427  2.15

Values from the calculation:
For the density of states at the Fermi level, the calculation gives 2.89 states/eV/f.u. The value obtained for the size of the total moment is 7.3 μB per cell. The calculation puts the total energy at -98.96 eV/cell.